Arrangement i

A relaxed TiTl2O3 crystal. Source: Alexandria, functional GGA-PBE.

Computed properties:
Density of states at the Fermi level ... 0.00 states/eV per cell
Volume ... 20.2 Å³ per atom
Mass density ... 6930 kg/m3
Total moment ... 0.0 μB per cell

a b c (Å): 6.072 11.779 13.524
angles (deg): 90.00 90.00 90.00
Space group Cmce (No. 64)
Inequivalent atoms, fractional coordinates:
1 Ti 0.000 0.243 0.170
2 Tl 0.000 0.061 0.375
3 Tl 0.000 0.132 0.929
4 O 0.000 0.102 0.120
5 O 0.000 0.157 0.568
6 O 0.250 0.236 0.750

Arrangement ii

A relaxed TiTl2O3 crystal. Source: Alexandria, functional GGA-PBE.

Computed properties:
Density of states at the Fermi level ... 0.00 states/eV per cell
Volume ... 20.5 Å³ per atom
Mass density ... 6804 kg/m3
Total moment ... 0.0 μB per cell

a b c (Å): 12.827 3.872 9.920
angles (deg): 90.00 90.00 90.00
Space group Pnma (No. 62)
Inequivalent atoms, fractional coordinates:
1 Ti 0.096 0.250 0.025
2 Tl 0.109 0.750 0.348
3 Tl 0.151 0.750 0.728
4 O 0.058 0.750 0.021
5 O 0.156 0.250 0.192
6 O 0.193 0.250 0.892

Preferred: arrangement ii; penalty for the next structure: 65 meV per atom.

Arrangement i

A relaxed Ti2TlO4 crystal. Source: Alexandria, functional GGA-PBE.

Computed properties:
Density of states at the Fermi level ... 18.80 states/eV per cell
Volume ... 13.6 Å³ per atom
Mass density ... 6333 kg/m3
Total moment ... 5.1 μB per cell

a b c (Å): 9.141 9.141 9.141
angles (deg): 90.00 90.00 90.00
Space group Fd-3m (No. 227, origin choice 2)
Inequivalent atoms, fractional coordinates:
1 Ti 0.000 0.000 0.000
2 Tl 0.125 0.125 0.625
3 O 0.026 0.026 0.224

Arrangement ii

A relaxed Ti2TlO4 crystal. Source: Alexandria, functional GGA-PBE.

Computed properties:
Density of states at the Fermi level ... 8.19 states/eV per cell
Volume ... 15.6 Å³ per atom
Mass density ... 5521 kg/m3
Total moment ... 1.5 μB per cell

a b c (Å): 14.598 3.024 5.172
angles (deg): 90.00 106.39 90.00
Space group C2/m (No. 12)
Inequivalent atoms, fractional coordinates:
1 Ti 0.241 0.000 0.241
2 Tl 0.000 0.500 0.500
3 O 0.175 0.500 0.363
4 O 0.179 0.000 0.854

Preferred: arrangement ii; penalty for the next structure: 231 meV per atom.